No. 1
Here is a geometry-optimized Ac6Ir2RuI2 structure from Alexandria via LeMat-Bulk. Energies are from PBE.

a = 7.5688 Å, b = 13.1413 Å, c = 9.0882 Å
α = 90.00°, β = 106.05°, γ = 90.00°
With the nearest neighbours (Å) after each atom.
Space group C2/m (No. 12)
Symmetry-distinct sites (fractional):
Ac 0.2233 0.1666 0.1795 x8  2 Ir 2.95-2.99, 1 Ru 2.96
Ac 0.2334 0.5000 0.1790 x4  1 Ru 2.92, 2 Ir 3.01
Ir 0.0000 0.3322 0.0000 x4  6 Ac 2.95-3.01
Ru 0.0000 0.0000 0.0000 x2  6 Ac 2.92-2.96
I 0.0000 0.1652 0.5000 x4  6 Ac 3.75-3.79

Values from the calculation:
ΔE_f (raw) = -8.6 eV/f.u.
E = -5.7594 eV per atom
DOS at the Fermi energy = 10.44 states/eV/cell



No. 2
Here is a geometry-optimized Ca2ZrSb structure from Alexandria via LeMat-Bulk. Energies are from PBE.

a = 3.8587 Å, b = 3.8587 Å, c = 8.1341 Å
α = 90.00°, β = 90.00°, γ = 90.00°
With the nearest neighbours (Å) after each atom.
Space group P4mm (No. 99)
Symmetry-distinct sites (fractional):
Ca 0.0000 0.0000 0.0000 x1  1 Sb 3.36, 4 Zr 3.42
Ca 0.5000 0.5000 0.3436 x1  1 Zr 3.27, 4 Sb 3.37
Zr 0.5000 0.5000 0.7458 x1  4 Sb 3.02, 1 Ca 3.27
Sb 0.0000 0.0000 0.5875 x1  4 Zr 3.02, 5 Ca 3.36-3.37

Values from the calculation:
ΔE_f (raw) = -1.2 eV/f.u.
E = -4.4614 eV per atom
DOS at the Fermi energy = 3.51 states/eV/cell



No. 3
Here is a geometry-optimized Cs2BaTlF6 structure from Alexandria via LeMat-Bulk. Energies are from PBE.

a = 9.9415 Å, b = 9.9415 Å, c = 9.9415 Å
α = 90.00°, β = 90.00°, γ = 90.00°
With the nearest neighbours (Å) after each atom.
Space group Fm-3m (No. 225)
Symmetry-distinct sites (fractional):
Cs 0.2500 0.2500 0.2500 x8  12 F 3.52
Ba 0.0000 0.0000 0.0000 x4  6 F 2.56
Tl 0.0000 0.0000 0.5000 x4  6 F 2.41
F 0.0000 0.0000 0.2572 x24  1 Tl 2.41, 1 Ba 2.56

Values from the calculation:
ΔE_f (raw) = -27.2 eV/f.u.
E = -4.4420 eV per atom
DOS at the Fermi energy = 13.12 states/eV/cell



No. 4
Here is a geometry-optimized Ru2PbW structure from Alexandria via LeMat-Bulk. Energies are from PBE.

a = 3.8859 Å, b = 3.8859 Å, c = 8.7590 Å
α = 90.00°, β = 90.00°, γ = 90.00°
With the nearest neighbours (Å) after each atom.
Space group I-4m2 (No. 119)
Symmetry-distinct sites (fractional):
Ru 0.0000 0.0000 0.0000 x2  4 Pb 2.75, 4 Ru 2.93, 4 W 2.93
Ru 0.0000 0.5000 0.2500 x2  4 W 2.75, 4 Ru 2.93, 4 Pb 2.93
Pb 0.0000 0.0000 0.5000 x2  8 Ru 2.75-2.93, 4 W 2.93
W 0.0000 0.5000 0.7500 x2  8 Ru 2.75-2.93, 4 Pb 2.93

Values from the calculation:
E = -8.2234 eV per atom
DOS at the Fermi energy = 8.31 states/eV/cell
DFT formation energy = 0.580 eV per atom